(1)
A relaxed GeRhS2N crystal, computed with GGA-PBE.

## Properties
As for the crystal system: tetragonal. As for the density of states at the Fermi level: 2.600 states/eV/f.u. The value obtained for the energy above the lowest structure with this stoichiometry is 0.0000 eV/atom. As for the uncorrected formation energy: 0.4689 eV per atom.

a b c (Å): 4.8995 4.8995 3.6463
angles (deg): 90.00 90.00 90.00
Space group P4/mmm (No. 123)
Inequivalent atoms, fractional coordinates:
Ge 0.0000 0.0000 0.0000 (multiplicity 1)
Rh 0.5000 0.5000 0.5000 (multiplicity 1)
S 0.0000 0.5000 0.5000 (multiplicity 2)
N 0.5000 0.5000 0.0000 (multiplicity 1)

(2)
A relaxed KSbSeI2 crystal, computed with GGA-PBE.

## Properties
As for the crystal system: tetragonal. As for the density of states at the Fermi level: 8.568 states/eV/f.u. The value obtained for the energy above the lowest structure with this stoichiometry is 0.8712 eV/atom. As for the uncorrected formation energy: 0.6926 eV per atom.

a b c (Å): 6.1836 6.1836 6.8811
angles (deg): 90.00 90.00 90.00
Space group P4/mmm (No. 123)
Inequivalent atoms, fractional coordinates:
K 0.0000 0.0000 0.0000 (multiplicity 1)
Sb 0.0000 0.0000 0.5000 (multiplicity 1)
Se 0.5000 0.5000 0.5000 (multiplicity 1)
I 0.0000 0.5000 0.0000 (multiplicity 2)

(3)
A relaxed Cs2GeH4 crystal, computed with GGA-PBE.

## Properties
As for the crystal system: tetragonal. As for the density of states at the Fermi level: 1.877 states/eV/f.u. The value obtained for the energy above the lowest structure with this stoichiometry is 0.1958 eV/atom.

a b c (Å): 4.2935 4.2935 15.3166
angles (deg): 90.00 90.00 90.00
Space group I4/mmm (No. 139)
Inequivalent atoms, fractional coordinates:
Cs 0.0000 0.0000 0.1408 (multiplicity 4)
Ge 0.0000 0.0000 0.5000 (multiplicity 2)
H 0.0000 0.0000 0.3683 (multiplicity 4)
H 0.0000 0.5000 0.0000 (multiplicity 4)

(4)
A relaxed LiPr4Zn2Cd crystal, computed with GGA-PBE.

## Properties
As for the crystal system: trigonal. The calculated total energy comes out at -3.2727 eV/atom. As for the density of states at the Fermi level: 8.299 states/eV/f.u.

a b c (Å): 5.3454 5.3454 26.2056
angles (deg): 90.00 90.00 120.00
Space group R-3m (No. 166, hexagonal axes)
Inequivalent atoms, fractional coordinates:
Li 0.0000 0.0000 0.0000 (multiplicity 3)
Pr 0.0000 0.0000 0.1237 (multiplicity 6)
Pr 0.0000 0.0000 0.3740 (multiplicity 6)
Zn 0.0000 0.0000 0.2521 (multiplicity 6)
Cd 0.0000 0.0000 0.5000 (multiplicity 3)

(5)
A relaxed TlPd5Au5 crystal, computed with GGA-PBE.

## Properties
As for the crystal system: triclinic. The calculated total energy comes out at -4.1543 eV/atom. As for the density of states at the Fermi level: 3.247 states/eV/f.u.

a b c (Å): 5.5790 5.6167 6.9852
angles (deg): 75.91 75.79 72.07
Space group P-1 (No. 2)
Inequivalent atoms, fractional coordinates:
Tl 0.0000 0.0000 0.0000 (multiplicity 1)
Pd 0.0000 0.5000 0.0000 (multiplicity 1)
Pd 0.1517 0.6662 0.3427 (multiplicity 2)
Pd 0.3021 0.8171 0.6684 (multiplicity 2)
Au 0.2112 0.1604 0.3175 (multiplicity 2)
Au 0.3526 0.3046 0.6776 (multiplicity 2)
Au 0.5000 0.5000 0.0000 (multiplicity 1)

(6)
A relaxed Pr2Nd6Tl crystal, computed with GGA-PBE.

## Properties
As for the crystal system: monoclinic. As for the density of states at the Fermi level: 11.493 states/eV/f.u. The value obtained for the energy above the lowest structure with this stoichiometry is 0.0000 eV/atom.

a b c (Å): 10.5926 11.8620 10.9016
angles (deg): 90.00 116.76 90.00
Space group C2/c (No. 15)
Inequivalent atoms, fractional coordinates:
Pr 0.1756 0.1183 0.2476 (multiplicity 8)
Nd 0.0117 0.3697 0.0717 (multiplicity 8)
Nd 0.1498 0.1457 0.9025 (multiplicity 8)
Nd 0.1809 0.1242 0.5713 (multiplicity 8)
Tl 0.0000 0.3967 0.7500 (multiplicity 4)

(7)
A relaxed Tb3GeP2Rh8 crystal, computed with GGA-PBE.

## Properties
As for the crystal system: trigonal. The calculated total energy comes out at -7.0296 eV/atom. As for the density of states at the Fermi level: 11.645 states/eV/f.u.

a b c (Å): 5.4226 5.4226 9.3476
angles (deg): 90.00 90.00 120.00
Space group P-3m1 (No. 164)
Inequivalent atoms, fractional coordinates:
Tb 0.0000 0.0000 0.0000 (multiplicity 1)
Tb 0.3333 0.6667 0.5646 (multiplicity 2)
Ge 0.0000 0.0000 0.5000 (multiplicity 1)
P 0.3333 0.6667 0.1002 (multiplicity 2)
Rh 0.1647 0.3295 0.2772 (multiplicity 6)
Rh 0.3333 0.6667 0.8643 (multiplicity 2)

(8)
A relaxed CsRbTl2Ir crystal, computed with GGA-PBE.

## Properties
As for the crystal system: tetragonal. The calculated total energy comes out at -2.9411 eV/atom. As for the density of states at the Fermi level: 2.343 states/eV/f.u.

a b c (Å): 5.3962 5.3962 6.4509
angles (deg): 90.00 90.00 90.00
Space group P4/mmm (No. 123)
Inequivalent atoms, fractional coordinates:
Cs 0.0000 0.0000 0.0000 (multiplicity 1)
Rb 0.5000 0.5000 0.0000 (multiplicity 1)
Tl 0.0000 0.5000 0.5000 (multiplicity 2)
Ir 0.5000 0.5000 0.5000 (multiplicity 1)

(9)
A relaxed MnAgSe2 crystal, computed with GGA-PBE.

## Properties
As for the crystal system: orthorhombic. As for the density of states at the Fermi level: 0.240 states/eV/f.u. As for the uncorrected formation energy: -0.2752 eV per atom.

a b c (Å): 7.1788 3.5783 15.8612
angles (deg): 90.00 90.00 90.00
Space group Pnma (No. 62)
Inequivalent atoms, fractional coordinates:
Mn 0.0312 0.2500 0.0974 (multiplicity 4)
Ag 0.0548 0.7500 0.3301 (multiplicity 4)
Se 0.1926 0.2500 0.9469 (multiplicity 4)
Se 0.1950 0.7500 0.1758 (multiplicity 4)

(10)
A relaxed Cs2SbF8 crystal, computed with GGA-PBE.

## Properties
As for the crystal system: monoclinic. As for the uncorrected formation energy: -2.3922 eV per atom.

a b c (Å): 12.2422 8.7923 5.3982
angles (deg): 90.00 112.52 90.00
Space group C2/m (No. 12)
Inequivalent atoms, fractional coordinates:
Cs 0.1735 0.0000 0.2893 (multiplicity 4)
Sb 0.0000 0.5000 0.0000 (multiplicity 2)
F 0.0634 0.0000 0.6873 (multiplicity 4)
F 0.0923 0.5000 0.7833 (multiplicity 4)
F 0.1033 0.3460 0.2230 (multiplicity 8)

(11)
A relaxed Ti7CuPd2 crystal, computed with GGA-PBE.

## Properties
As for the crystal system: cubic. The calculated total energy comes out at -6.2378 eV/atom. As for the density of states at the Fermi level: 17.482 states/eV/f.u.

a b c (Å): 9.1025 9.1025 9.1025
angles (deg): 90.00 90.00 90.00
Space group Fm-3m (No. 225)
Inequivalent atoms, fractional coordinates:
Ti 0.0000 0.0000 0.0000 (multiplicity 4)
Ti 0.0000 0.0000 0.2491 (multiplicity 24)
Cu 0.0000 0.0000 0.5000 (multiplicity 4)
Pd 0.2500 0.2500 0.2500 (multiplicity 8)

(12)
A relaxed Sm4I2N crystal, computed with GGA-PBE.

## Properties
As for the crystal system: tetragonal. As for the density of states at the Fermi level: 9.954 states/eV/f.u. As for the uncorrected formation energy: -0.5253 eV per atom.

a b c (Å): 4.7605 4.7605 19.0835
angles (deg): 90.00 90.00 90.00
Space group I4/mmm (No. 139)
Inequivalent atoms, fractional coordinates:
Sm 0.0000 0.0000 0.1358 (multiplicity 4)
Sm 0.0000 0.5000 0.0000 (multiplicity 4)
I 0.0000 0.0000 0.3107 (multiplicity 4)
N 0.0000 0.0000 0.0000 (multiplicity 2)

(13)
A relaxed Tl2HgPb crystal, computed with GGA-PBE.

## Properties
As for the crystal system: monoclinic. The calculated total energy comes out at -2.1747 eV/atom. As for the density of states at the Fermi level: 1.352 states/eV/f.u.

a b c (Å): 6.7466 11.3001 3.3374
angles (deg): 90.00 109.76 90.00
Space group C2/m (No. 12)
Inequivalent atoms, fractional coordinates:
Tl 0.2500 0.2500 0.0000 (multiplicity 4)
Hg 0.0000 0.0000 0.5000 (multiplicity 2)
Pb 0.0000 0.5000 0.5000 (multiplicity 2)

(14)
A relaxed LiTlO3 crystal, computed with GGA-PBE.

## Properties
As for the crystal system: cubic. As for the density of states at the Fermi level: 3.148 states/eV/f.u. As for the uncorrected formation energy: -0.1551 eV per atom.

a b c (Å): 3.7147 3.7147 3.7147
angles (deg): 90.00 90.00 90.00
Space group Pm-3m (No. 221)
Inequivalent atoms, fractional coordinates:
Li 0.0000 0.0000 0.0000 (multiplicity 1)
Tl 0.5000 0.5000 0.5000 (multiplicity 1)
O 0.0000 0.0000 0.5000 (multiplicity 3)

(15)
A relaxed Ba2Hg12Pb5 crystal, computed with GGA-PBE.

## Properties
As for the crystal system: trigonal. The calculated total energy comes out at -1.5400 eV/atom. As for the density of states at the Fermi level: 7.276 states/eV/f.u.

a b c (Å): 10.6514 10.6514 17.2783
angles (deg): 90.00 90.00 120.00
Space group R-3m (No. 166, hexagonal axes)
Inequivalent atoms, fractional coordinates:
Ba 0.0000 0.0000 0.1815 (multiplicity 6)
Hg 0.0000 0.2963 0.5000 (multiplicity 18)
Hg 0.0406 0.5203 0.6299 (multiplicity 18)
Pb 0.0000 0.0000 0.4055 (multiplicity 6)
Pb 0.0000 0.5000 0.0000 (multiplicity 9)

(16)
A relaxed AlTc3Ag crystal, computed with GGA-PBE.

## Properties
As for the crystal system: cubic. As for the density of states at the Fermi level: 5.515 states/eV/f.u. The value obtained for the energy above the lowest structure with this stoichiometry is 0.0000 eV/atom.

a b c (Å): 4.4606 4.4606 4.4606
angles (deg): 90.00 90.00 90.00
Space group Pm-3m (No. 221)
Inequivalent atoms, fractional coordinates:
Al 0.0000 0.0000 0.0000 (multiplicity 1)
Tc 0.0000 0.0000 0.5000 (multiplicity 3)
Ag 0.5000 0.5000 0.5000 (multiplicity 1)

(17)
A relaxed MgHIr2 crystal, computed with GGA-PBE.

## Properties
As for the crystal system: triclinic. As for the density of states at the Fermi level: 2.563 states/eV/f.u. The value obtained for the energy above the lowest structure with this stoichiometry is 0.0285 eV/atom.

a b c (Å): 4.6876 4.7043 5.3851
angles (deg): 89.81 74.95 89.29
Space group P-1 (No. 2)
Inequivalent atoms, fractional coordinates:
Mg 0.0000 0.0000 0.0000 (multiplicity 1)
Mg 0.0000 0.5000 0.5000 (multiplicity 1)
H 0.2941 0.4339 0.9194 (multiplicity 2)
Ir 0.4698 0.2395 0.6242 (multiplicity 2)
Ir 0.4736 0.2409 0.1401 (multiplicity 2)

(18)
A relaxed Cd2OsRu crystal, computed with GGA-PBE.

## Properties
As for the crystal system: tetragonal. As for the density of states at the Fermi level: 2.186 states/eV/f.u. The value obtained for the energy above the lowest structure with this stoichiometry is 0.0000 eV/atom.

a b c (Å): 2.8752 2.8752 8.3817
angles (deg): 90.00 90.00 90.00
Space group P4mm (No. 99)
Inequivalent atoms, fractional coordinates:
Cd 0.0000 0.0000 0.0000 (multiplicity 1)
Cd 0.5000 0.5000 0.3019 (multiplicity 1)
Os 0.0000 0.0000 0.5578 (multiplicity 1)
Ru 0.5000 0.5000 0.7472 (multiplicity 1)

(19)
A relaxed TaZnGa2 crystal, computed with GGA-PBE.

## Properties
As for the crystal system: trigonal. The calculated total energy comes out at -4.5797 eV/atom. As for the density of states at the Fermi level: 1.727 states/eV/f.u.

a b c (Å): 3.9064 3.9064 16.4578
angles (deg): 90.00 90.00 120.00
Space group R3m (No. 160, hexagonal axes)
Inequivalent atoms, fractional coordinates:
Ta 0.0000 0.0000 0.0000 (multiplicity 3)
Zn 0.0000 0.0000 0.1785 (multiplicity 3)
Ga 0.0000 0.0000 0.4244 (multiplicity 3)
Ga 0.0000 0.0000 0.5837 (multiplicity 3)

(20)
A relaxed Ca3Tb2TaN6 crystal, computed with GGA-PBE.

## Properties
As for the crystal system: monoclinic. As for the density of states at the Fermi level: 9.197 states/eV/f.u. As for the uncorrected formation energy: -1.2446 eV per atom.

a b c (Å): 5.9067 10.2352 5.9837
angles (deg): 90.00 109.30 90.00
Space group C2/m (No. 12)
Inequivalent atoms, fractional coordinates:
Ca 0.0000 0.0000 0.0000 (multiplicity 2)
Ca 0.0000 0.3363 0.0000 (multiplicity 4)
Tb 0.0000 0.1667 0.5000 (multiplicity 4)
Ta 0.0000 0.5000 0.5000 (multiplicity 2)
N 0.2251 0.3483 0.7208 (multiplicity 8)
N 0.2304 0.5000 0.2829 (multiplicity 4)

(21)
A relaxed CaNb2Pt2 crystal, computed with GGA-PBE.

## Properties
As for the crystal system: tetragonal. As for the density of states at the Fermi level: 5.044 states/eV/f.u. The value obtained for the energy above the lowest structure with this stoichiometry is 0.1133 eV/atom.

a b c (Å): 8.0484 8.0484 2.9599
angles (deg): 90.00 90.00 90.00
Space group P4/mbm (No. 127)
Inequivalent atoms, fractional coordinates:
Ca 0.0000 0.0000 0.0000 (multiplicity 2)
Nb 0.1660 0.3340 0.5000 (multiplicity 4)
Pt 0.1268 0.6268 0.0000 (multiplicity 4)

(22)
A relaxed TaBe2SiGe crystal, computed with GGA-PBE.

## Properties
As for the crystal system: tetragonal. As for the density of states at the Fermi level: 2.592 states/eV/f.u. As for the uncorrected formation energy: 0.7124 eV per atom.

a b c (Å): 4.0372 4.0372 4.9594
angles (deg): 90.00 90.00 90.00
Space group P4/mmm (No. 123)
Inequivalent atoms, fractional coordinates:
Ta 0.0000 0.0000 0.0000 (multiplicity 1)
Be 0.0000 0.5000 0.5000 (multiplicity 2)
Si 0.0000 0.0000 0.5000 (multiplicity 1)
Ge 0.5000 0.5000 0.0000 (multiplicity 1)

(23)
A relaxed Pu2VAu crystal, computed with GGA-PBE.

## Properties
As for the crystal system: tetragonal. The calculated total energy comes out at -10.1710 eV/atom. As for the density of states at the Fermi level: 13.599 states/eV/f.u.

a b c (Å): 3.7538 3.7538 6.2395
angles (deg): 90.00 90.00 90.00
Space group P4/mmm (No. 123)
Inequivalent atoms, fractional coordinates:
Pu 0.0000 0.0000 0.2476 (multiplicity 2)
V 0.5000 0.5000 0.0000 (multiplicity 1)
Au 0.5000 0.5000 0.5000 (multiplicity 1)

(24)
A relaxed YReP2O crystal, computed with GGA-PBE.

## Properties
As for the crystal system: tetragonal. As for the density of states at the Fermi level: 3.069 states/eV/f.u. The value obtained for the energy above the lowest structure with this stoichiometry is 1.4978 eV/atom. As for the uncorrected formation energy: 0.7852 eV per atom.

a b c (Å): 5.2914 5.2914 4.0726
angles (deg): 90.00 90.00 90.00
Space group P4/mmm (No. 123)
Inequivalent atoms, fractional coordinates:
Y 0.0000 0.0000 0.0000 (multiplicity 1)
Re 0.5000 0.5000 0.5000 (multiplicity 1)
P 0.0000 0.5000 0.0000 (multiplicity 2)
O 0.0000 0.0000 0.5000 (multiplicity 1)